Entry 1:
ZrW2Cl | Alexandria via LeMat-Bulk | PBE | optimized geometry; DOS(E_F) = 0.72 states/eV per atom; uncorrected formation energy = 0.39 eV per atom; final energy = -8.686 eV/atom
1.0
5.667 -0.006 0.036
4.809 2.999 0.036
0.703 0.201 4.301
Cl Zr W
1 1 2
Cartesian
8.384 2.395 3.279
2.795 0.798 1.093
5.676 1.621 2.081
10.390 2.968 0.176

Entry 2:
CsZrICl2 | Alexandria via LeMat-Bulk | PBE | optimized geometry; DOS(E_F) = 1.18 states/eV per atom; uncorrected formation energy = -0.28 eV per atom; final energy = -3.205 eV/atom
1.0
-1.965 -6.493 -0.399
5.097 -1.560 0.293
-0.472 -0.273 6.773
Cl Cs Zr I
2 1 1 1
Cartesian
-0.236 -0.137 3.387
-0.983 -3.246 -0.199
1.330 -4.163 3.333
2.548 -0.780 0.146
0.000 0.000 0.000

Entry 3:
CdTc2Ag | Alexandria via LeMat-Bulk | PBE | optimized geometry; DOS(E_F) = 0.81 states/eV per atom; final energy = -5.615 eV/atom; DFT formation energy = 0.5094 eV/atom
1.0
5.177 -0.008 0.008
4.415 2.703 0.008
0.772 0.217 4.692
Cd Tc Ag
1 2 1
Cartesian
2.591 0.728 1.177
0.774 0.217 4.681
5.180 1.455 2.365
7.773 2.184 3.530

Entry 4:
MgSb2TeS | Alexandria via LeMat-Bulk | PBE | optimized geometry; DOS(E_F) = 1.21 states/eV per atom; uncorrected formation energy = 0.72 eV per atom; final energy = -2.699 eV/atom
1.0
-0.393 -1.022 -5.304
2.232 -4.874 0.773
-4.706 -2.038 0.741
Sb Mg S Te
2 1 1 1
Cartesian
1.116 -2.437 0.387
-0.196 -0.511 -2.652
0.000 0.000 0.000
-1.433 -3.967 -1.895
-2.353 -1.019 0.370

What is the final energy in the third record?
-5.615 eV/atom

What is the formula in the third record?
CdTc2Ag

The highest DOS(E_F) belongs to which entry?
MgSb2TeS

What is the DOS(E_F) in the first record?
0.72 states/eV per atom